(1)
Crystalline Cs2HgAs2O6 at its relaxed geometry. Source: Alexandria, functional PBE-GGA.

Summary:
- energy relative to the elements, uncorrected (eV/atom) = -1.23
- symmetry = C2/m (12)

Cell lengths 7.207, 7.207, 6.805 Å; angles 110.17, 110.17, 47.70 degrees
Element x y z (fractional)
Cs 0.215 0.215 0.200
Cs 0.785 0.785 0.800
Hg 0.000 0.000 0.500
As 0.486 0.486 0.805
As 0.514 0.514 0.195
O 0.201 0.687 0.223
O 0.313 0.799 0.777
O 0.349 0.349 0.662
O 0.651 0.651 0.338
O 0.687 0.201 0.223
O 0.799 0.313 0.777


(2)
Crystalline Tb4PmNdHo2 at its relaxed geometry. Source: Alexandria, functional PBE-GGA.

Summary:
- symmetry = C2/c (15)
- formation energy (eV per formula unit) = 3.4

Cell lengths 9.522, 9.522, 6.826 Å; angles 110.99, 110.99, 88.40 degrees
Element x y z (fractional)
Tb 0.245 0.249 0.499
Tb 0.246 0.753 0.501
Tb 0.247 0.754 0.999
Tb 0.249 0.245 0.999
Tb 0.751 0.755 0.001
Tb 0.753 0.246 0.001
Tb 0.754 0.247 0.499
Tb 0.755 0.751 0.501
Pm 0.500 0.500 0.000
Pm 0.500 0.500 0.500
Nd 0.000 0.500 0.000
Nd 0.500 0.000 0.500
Ho 0.000 0.000 0.000
Ho 0.000 0.000 0.500
Ho 0.000 0.500 0.500
Ho 0.500 0.000 0.000


(3)
Crystalline ScRe2 at its relaxed geometry. Source: Alexandria, functional PBE-GGA.

Summary:
- symmetry = P-3m1 (164)
- formation energy (eV per formula unit) = -0.1

Cell lengths 4.456, 4.456, 2.818 Å; angles 90.00, 90.00, 120.00 degrees
Element x y z (fractional)
Sc 0.000 0.000 0.000
Re 0.333 0.667 0.639
Re 0.667 0.333 0.361


Q: Number 1 is which compound?
A: Cs2HgAs2O6


Please write out number 1 again, unchanged.
Crystalline Cs2HgAs2O6 at its relaxed geometry. Source: Alexandria, functional PBE-GGA.

Summary:
- energy relative to the elements, uncorrected (eV/atom) = -1.23
- symmetry = C2/m (12)

Cell lengths 7.207, 7.207, 6.805 Å; angles 110.17, 110.17, 47.70 degrees
Element x y z (fractional)
Cs 0.215 0.215 0.200
Cs 0.785 0.785 0.800
Hg 0.000 0.000 0.500
As 0.486 0.486 0.805
As 0.514 0.514 0.195
O 0.201 0.687 0.223
O 0.313 0.799 0.777
O 0.349 0.349 0.662
O 0.651 0.651 0.338
O 0.687 0.201 0.223
O 0.799 0.313 0.777


Q: Which formula does entry 2 have?
A: Tb4PmNdHo2